Entry 1:
## Ba3ZnGa (GGA-PBEsol)

Data for a relaxed Ba3ZnGa crystal.

a b c (Å): 6.314 6.314 6.314
angles (deg): 90.00 90.00 90.00
Sites, in units of the cell vectors:
Ba 0.000 0.000 0.500
Ba 0.000 0.500 0.000
Ba 0.500 0.000 0.000
Zn 0.500 0.500 0.500
Ga 0.000 0.000 0.000

Calculated values
V in Å³ per cell: 252
Energy of formation in eV/f.u.: 1.038
M_tot in Bohr magnetons per cell: 1.5
Excess energy over the best structure of this formula in the dataset in kJ per mole of atoms: 0.0
DOS(E_F) in states/eV/f.u.: 9.4
Theoretical density in g/cm3: 3.610

Entry 2:
## BaZrGa3 (GGA-PBEsol)

Data for a relaxed BaZrGa3 crystal.

a b c (Å): 5.213 5.213 5.213
angles (deg): 90.00 90.00 90.00
Sites, in units of the cell vectors:
Ba 0.000 0.000 0.000
Zr 0.500 0.500 0.500
Ga 0.000 0.500 0.500
Ga 0.500 0.000 0.500
Ga 0.500 0.500 0.000

Calculated values
V in Å³ per cell: 142
Energy of formation in eV/f.u.: -0.473
M_tot in Bohr magnetons per cell: 0.0
DOS(E_F) in states/eV/f.u.: 7.5
Theoretical density in g/cm3: 5.131

Entry 3:
## KBaGdMo3O12 (GGA-PBEsol)

Data for a relaxed KBaGdMo3O12 crystal.

a b c (Å): 10.604 10.604 5.285
angles (deg): 102.82 102.82 69.51
Sites, in units of the cell vectors:
K 0.164 0.164 0.166
K 0.836 0.836 0.834
Ba 0.582 0.086 0.325
Ba 0.914 0.418 0.675
Gd 0.249 0.751 0.000
Gd 0.487 0.513 0.500
Mo 0.018 0.982 0.500
Mo 0.107 0.580 0.352
Mo 0.324 0.365 0.849
Mo 0.420 0.893 0.648
Mo 0.635 0.676 0.151
Mo 0.719 0.281 0.000
O 0.009 0.144 0.679
O 0.060 0.859 0.715
O 0.074 0.706 0.154
O 0.113 0.430 0.124
O 0.141 0.940 0.285
O 0.172 0.375 0.625
O 0.259 0.590 0.599
O 0.294 0.926 0.846
O 0.333 0.515 0.097
O 0.365 0.225 0.003
O 0.382 0.034 0.495
O 0.410 0.741 0.401
O 0.451 0.330 0.649
O 0.485 0.667 0.903
O 0.570 0.887 0.876
O 0.600 0.319 0.220
O 0.625 0.828 0.375
O 0.670 0.549 0.351
O 0.681 0.400 0.780
O 0.724 0.120 0.823
O 0.775 0.635 0.997
O 0.856 0.991 0.321
O 0.880 0.276 0.177
O 0.966 0.618 0.505

Calculated values
Final energy in eV per atom: -8.924
V in Å³ per cell: 536
M_tot in Bohr magnetons per cell: 13.9
DOS(E_F) in states/eV/f.u.: 0.0
Theoretical density in g/cm3: 5.040

Entry 4:
## BaGd2Mn2O7 (GGA-PBEsol)

Data for a relaxed BaGd2Mn2O7 crystal.

a b c (Å): 5.522 5.522 19.662
angles (deg): 90.00 90.00 90.00
Sites, in units of the cell vectors:
Ba 0.246 0.246 0.000
Ba 0.254 0.746 0.500
Ba 0.746 0.254 0.500
Ba 0.754 0.754 0.000
Gd 0.228 0.228 0.183
Gd 0.228 0.228 0.817
Gd 0.272 0.728 0.317
Gd 0.272 0.728 0.683
Gd 0.728 0.272 0.317
Gd 0.728 0.272 0.683
Gd 0.772 0.772 0.183
Gd 0.772 0.772 0.817
Mn 0.247 0.247 0.398
Mn 0.247 0.247 0.602
Mn 0.253 0.747 0.102
Mn 0.253 0.747 0.898
Mn 0.747 0.253 0.102
Mn 0.747 0.253 0.898
Mn 0.753 0.753 0.398
Mn 0.753 0.753 0.602
O 0.000 0.000 0.098
O 0.000 0.000 0.378
O 0.000 0.000 0.622
O 0.000 0.000 0.902
O 0.000 0.500 0.111
O 0.000 0.500 0.389
O 0.000 0.500 0.611
O 0.000 0.500 0.889
O 0.197 0.803 0.209
O 0.197 0.803 0.791
O 0.231 0.231 0.500
O 0.269 0.731 0.000
O 0.303 0.303 0.291
O 0.303 0.303 0.709
O 0.500 0.000 0.111
O 0.500 0.000 0.389
O 0.500 0.000 0.611
O 0.500 0.000 0.889
O 0.500 0.500 0.122
O 0.500 0.500 0.402
O 0.500 0.500 0.598
O 0.500 0.500 0.878
O 0.697 0.697 0.291
O 0.697 0.697 0.709
O 0.731 0.269 0.000
O 0.769 0.769 0.500
O 0.803 0.197 0.209
O 0.803 0.197 0.791

Calculated values
Final energy in eV per atom: -9.928
V in Å³ per cell: 600
M_tot in Bohr magnetons per cell: 87.3
DOS(E_F) in states/eV/f.u.: 1.4
Theoretical density in g/cm3: 7.463

Entry 5:
## Ba2GdMoO6 (GGA-PBEsol)

Data for a relaxed Ba2GdMoO6 crystal.

a b c (Å): 5.941 5.941 5.949
angles (deg): 120.01 120.01 59.99
Sites, in units of the cell vectors:
Ba 0.250 0.250 0.250
Ba 0.750 0.750 0.750
Gd 0.000 0.000 0.500
Mo 0.500 0.500 0.000
O 0.258 0.723 0.223
O 0.268 0.268 0.749
O 0.277 0.742 0.777
O 0.723 0.258 0.223
O 0.732 0.732 0.251
O 0.742 0.277 0.777

Calculated values
Final energy in eV per atom: -9.015
V in Å³ per cell: 148
M_tot in Bohr magnetons per cell: 7.1
DOS(E_F) in states/eV/f.u.: 3.3
Theoretical density in g/cm3: 6.979

Entry 6:
## BaGd2PtO5 (GGA-PBEsol)

Data for a relaxed BaGd2PtO5 crystal.

a b c (Å): 6.587 6.587 5.869
angles (deg): 90.00 90.00 90.00
Sites, in units of the cell vectors:
Ba 0.000 0.000 0.000
Ba 0.500 0.500 0.000
Gd 0.174 0.326 0.500
Gd 0.326 0.826 0.500
Gd 0.674 0.174 0.500
Gd 0.826 0.674 0.500
Pt 0.000 0.500 0.000
Pt 0.500 0.000 0.000
O 0.000 0.000 0.500
O 0.140 0.640 0.258
O 0.140 0.640 0.742
O 0.360 0.140 0.258
O 0.360 0.140 0.742
O 0.500 0.500 0.500
O 0.640 0.860 0.258
O 0.640 0.860 0.742
O 0.860 0.360 0.258
O 0.860 0.360 0.742

Calculated values
Final energy in eV per atom: -9.830
V in Å³ per cell: 255
M_tot in Bohr magnetons per cell: 27.9
DOS(E_F) in states/eV/f.u.: 0.0
Theoretical density in g/cm3: 9.479

Entry 7:
## Ba2GdWO6 (GGA-PBEsol)

Data for a relaxed Ba2GdWO6 crystal.

a b c (Å): 5.961 5.961 5.961
angles (deg): 60.00 60.00 60.00
Sites, in units of the cell vectors:
Ba 0.250 0.250 0.250
Ba 0.750 0.750 0.750
Gd 0.000 0.000 0.000
W 0.500 0.500 0.500
O 0.267 0.267 0.733
O 0.267 0.733 0.267
O 0.267 0.733 0.733
O 0.733 0.267 0.267
O 0.733 0.267 0.733
O 0.733 0.733 0.267

Calculated values
Final energy in eV per atom: -9.260
V in Å³ per cell: 150
M_tot in Bohr magnetons per cell: 7.0
DOS(E_F) in states/eV/f.u.: 3.0
Theoretical density in g/cm3: 7.890

Entry 8:
## BaGe (GGA-PBEsol)

Data for a relaxed BaGe crystal.

a b c (Å): 6.504 6.504 4.242
angles (deg): 90.00 90.00 134.78
Sites, in units of the cell vectors:
Ba 0.139 0.861 0.750
Ba 0.861 0.139 0.250
Ge 0.436 0.564 0.750
Ge 0.564 0.436 0.250

Calculated values
V in Å³ per cell: 127
Energy of formation in eV/f.u.: -1.252
M_tot in Bohr magnetons per cell: 0.0
DOS(E_F) in states/eV/f.u.: 0.6
Theoretical density in g/cm3: 5.473